No. 1
{"formula": "CsY2ZrCu", "functional": "GGA-PBE", "state": "relaxed", "lattice": [[5.564, 0.000, 0.000], [0.000, 5.564, 0.000], [0.000, 0.000, 6.279]], "species": ["Cs", "Y", "Y", "Zr", "Cu"], "frac_coords": [[0.000, 0.000, 0.000], [0.000, 0.500, 0.500], [0.500, 0.000, 0.500], [0.000, 0.000, 0.500], [0.500, 0.500, 0.000]]}

No. 2
{"formula": "Zn2InCo", "functional": "GGA-PBE", "state": "relaxed", "lattice": [[2.995, 0.000, 0.000], [-1.497, 2.594, 0.000], [0.000, 0.000, 25.303]], "species": ["Zn", "Zn", "Zn", "Zn", "Zn", "Zn", "In", "In", "In", "Co", "Co", "Co"], "frac_coords": [[0.000, 0.000, 0.000], [0.000, 0.000, 0.249], [0.333, 0.667, 0.667], [0.333, 0.667, 0.916], [0.667, 0.333, 0.333], [0.667, 0.333, 0.583], [0.000, 0.000, 0.761], [0.333, 0.667, 0.428], [0.667, 0.333, 0.095], [0.000, 0.000, 0.510], [0.333, 0.667, 0.177], [0.667, 0.333, 0.844]]}

No. 3
{"formula": "Ga3PdRu", "functional": "GGA-PBE", "state": "relaxed", "lattice": [[4.711, 0.000, 0.000], [0.000, 4.711, 0.000], [0.000, 0.000, 4.711]], "species": ["Ga", "Ga", "Ga", "Pd", "Ru"], "frac_coords": [[0.000, 0.000, 0.500], [0.000, 0.500, 0.000], [0.500, 0.000, 0.000], [0.500, 0.500, 0.500], [0.000, 0.000, 0.000]]}

no.,calculated formation energy (eV per formula unit)
1,6.009
2,0.986
3,0.670